Entry 1:
# CrRuRh3, relaxed, DFT GGA-PBE
# Raw total energy, eV for the cell shown: -237.6
# ΔE to the lowest computed polymorph, eV/atom: 0.284
# Formation energy, meV per atom: 271
data_CrRuRh3
_cell_length_a 7.4468
_cell_length_b 7.4468
_cell_length_c 8.9934
_cell_angle_alpha 90.00
_cell_angle_beta 90.00
_cell_angle_gamma 120.00
_symmetry_space_group_name_H-M 'R -3'
_symmetry_Int_Tables_number 148
_symmetry_space_group_name_Hall '-R 3'
loop_
_atom_site_label
_atom_site_type_symbol
_atom_site_fract_x
_atom_site_fract_y
_atom_site_fract_z
Cr1 Cr 0.0000 0.0000 0.1294
Ru1 Ru 0.0000 0.0000 0.3614
Rh1 Rh 0.9996 0.3235 0.0838

Entry 2:
# In2PSe, relaxed, DFT GGA-PBE
# Raw total energy, eV for the cell shown: -60.7
# ΔE_f (raw), meV per atom: -202
# ΔE to the lowest computed polymorph, eV/atom: 0.066
data_In2PSe
_cell_length_a 6.284
_cell_length_b 6.284
_cell_length_c 12.442
_cell_angle_alpha 90.00
_cell_angle_beta 90.00
_cell_angle_gamma 90.00
_symmetry_space_group_name_H-M 'I -4 2 d'
_symmetry_Int_Tables_number 122
_symmetry_space_group_name_Hall 'I -4 2bw'
loop_
_atom_site_label
_atom_site_type_symbol
_atom_site_fract_x
_atom_site_fract_y
_atom_site_fract_z
In1 In 0.226 0.250 0.125
P1 P 0.000 0.000 0.000
Se1 Se 0.000 0.000 0.500

Entry 3:
# LaTcCl2, relaxed, DFT GGA-PBE
# Raw total energy, eV for the cell shown: -20.7
# ΔE_f (raw), meV per atom: -435
# ΔE to the lowest computed polymorph, eV/atom: 0.324
data_LaTcCl2
_cell_length_a 3.645
_cell_length_b 4.486
_cell_length_c 5.311
_cell_angle_alpha 90.00
_cell_angle_beta 90.00
_cell_angle_gamma 90.00
_symmetry_space_group_name_H-M 'P m m m'
_symmetry_Int_Tables_number 47
_symmetry_space_group_name_Hall '-P 2 2'
loop_
_atom_site_label
_atom_site_type_symbol
_atom_site_fract_x
_atom_site_fract_y
_atom_site_fract_z
La1 La 0.000 0.000 0.000
Tc1 Tc 0.500 0.000 0.500
Cl1 Cl 0.000 0.500 0.500
Cl2 Cl 0.500 0.500 0.000

Entry 4:
# Sr3Li7Al2, relaxed, DFT GGA-PBE
# Raw total energy, eV for the cell shown: -78.1
# Formation energy, meV per atom: -8
data_Sr3Li7Al2
_cell_length_a 6.0257
_cell_length_b 6.0257
_cell_length_c 30.7703
_cell_angle_alpha 90.00
_cell_angle_beta 90.00
_cell_angle_gamma 120.00
_symmetry_space_group_name_H-M 'R -3 m'
_symmetry_Int_Tables_number 166
_symmetry_space_group_name_Hall '-R 3 2"'
loop_
_atom_site_label
_atom_site_type_symbol
_atom_site_fract_x
_atom_site_fract_y
_atom_site_fract_z
Sr1 Sr 0.0000 0.0000 0.0000
Sr2 Sr 0.0000 0.0000 0.1385
Li1 Li 0.0000 0.0000 0.5000
Li2 Li 0.0010 0.5005 0.0741
Al1 Al 0.0000 0.0000 0.3329

Entry 5:
# CaRh2Br, relaxed, DFT GGA-PBE
# Raw total energy, eV for the cell shown: -19.6
# ΔE_f (raw), meV per atom: -305
# ΔE to the lowest computed polymorph, eV/atom: 0.008
data_CaRh2Br
_cell_length_a 3.442
_cell_length_b 3.442
_cell_length_c 7.494
_cell_angle_alpha 90.00
_cell_angle_beta 90.00
_cell_angle_gamma 90.00
_symmetry_space_group_name_H-M 'P 4 m m'
_symmetry_Int_Tables_number 99
_symmetry_space_group_name_Hall 'P 4 -2'
loop_
_atom_site_label
_atom_site_type_symbol
_atom_site_fract_x
_atom_site_fract_y
_atom_site_fract_z
Ca1 Ca 0.000 0.000 0.000
Rh1 Rh 0.000 0.000 0.386
Rh2 Rh 0.500 0.500 0.277
Br1 Br 0.500 0.500 0.777

Entry 6:
# LaGaCu2Ni2, relaxed, DFT GGA-PBE
# Raw total energy, eV for the cell shown: -27.2
# Formation energy, meV per atom: 83
data_LaGaCu2Ni2
_cell_length_a 4.389
_cell_length_b 4.389
_cell_length_c 5.677
_cell_angle_alpha 90.00
_cell_angle_beta 90.00
_cell_angle_gamma 90.00
_symmetry_space_group_name_H-M 'P 4/m m m'
_symmetry_Int_Tables_number 123
_symmetry_space_group_name_Hall '-P 4 2'
loop_
_atom_site_label
_atom_site_type_symbol
_atom_site_fract_x
_atom_site_fract_y
_atom_site_fract_z
La1 La 0.000 0.000 0.000
Ga1 Ga 0.000 0.000 0.500
Cu1 Cu 0.500 0.500 0.259
Ni1 Ni 0.000 0.500 0.500

Entry 7:
# AgTe2Rh, relaxed, DFT GGA-PBE
# Raw total energy, eV for the cell shown: -49.6
# ΔE_f (raw), meV per atom: -10
data_AgTe2Rh
_cell_length_a 4.0167
_cell_length_b 4.0167
_cell_length_c 20.8302
_cell_angle_alpha 90.00
_cell_angle_beta 90.00
_cell_angle_gamma 120.00
_symmetry_space_group_name_H-M 'R 3 m'
_symmetry_Int_Tables_number 160
_symmetry_space_group_name_Hall 'R 3 -2"'
loop_
_atom_site_label
_atom_site_type_symbol
_atom_site_fract_x
_atom_site_fract_y
_atom_site_fract_z
Ag1 Ag 0.0000 0.0000 0.0000
Te1 Te 0.0000 0.0000 0.5385
Te2 Te 0.0000 0.0000 0.7360
Rh1 Rh 0.0000 0.0000 0.2604

Entry 8:
# InRh2Se, relaxed, DFT GGA-PBE
# Raw total energy, eV for the cell shown: -21.7
# ΔE_f (raw), meV per atom: -189
data_InRh2Se
_cell_length_a 3.215
_cell_length_b 4.741
_cell_length_c 4.636
_cell_angle_alpha 90.00
_cell_angle_beta 90.00
_cell_angle_gamma 90.00
_symmetry_space_group_name_H-M 'P m m 2'
_symmetry_Int_Tables_number 25
_symmetry_space_group_name_Hall 'P 2 -2'
loop_
_atom_site_label
_atom_site_type_symbol
_atom_site_fract_x
_atom_site_fract_y
_atom_site_fract_z
In1 In 0.000 0.000 0.000
Rh1 Rh 0.000 0.500 0.691
Rh2 Rh 0.500 0.000 0.507
Se1 Se 0.500 0.500 0.303

Entry 9:
# In3Br3Cl2, relaxed, DFT GGA-PBE
# Raw total energy, eV for the cell shown: -91.6
# ΔE_f (raw), meV per atom: -747
data_In3Br3Cl2
_cell_length_a 3.869
_cell_length_b 18.618
_cell_length_c 16.796
_cell_angle_alpha 90.00
_cell_angle_beta 90.00
_cell_angle_gamma 90.00
_symmetry_space_group_name_H-M 'C m c m'
_symmetry_Int_Tables_number 63
_symmetry_space_group_name_Hall '-C 2c 2'
loop_
_atom_site_label
_atom_site_type_symbol
_atom_site_fract_x
_atom_site_fract_y
_atom_site_fract_z
In1 In 0.000 0.025 0.250
In2 In 0.000 0.152 0.539
Br1 Br 0.000 0.110 0.750
Br2 Br 0.000 0.437 0.643
Cl1 Cl 0.000 0.251 0.096

Entry 10:
# AgHg2Os, relaxed, DFT GGA-PBE
# Raw total energy, eV for the cell shown: -24.3
# ΔE to the lowest computed polymorph, eV/atom: 0.055
# Formation energy, meV per atom: 637
data_AgHg2Os
_cell_length_a 6.083
_cell_length_b 8.081
_cell_length_c 2.979
_cell_angle_alpha 90.00
_cell_angle_beta 90.14
_cell_angle_gamma 90.00
_symmetry_space_group_name_H-M 'C 1 2/m 1'
_symmetry_Int_Tables_number 12
_symmetry_space_group_name_Hall '-C 2y'
loop_
_atom_site_label
_atom_site_type_symbol
_atom_site_fract_x
_atom_site_fract_y
_atom_site_fract_z
Ag1 Ag 0.000 0.000 0.000
Hg1 Hg 0.250 0.250 0.500
Os1 Os 0.000 0.500 0.000

Entry 11:
# Na2In8Pd, relaxed, DFT GGA-PBE
# Raw total energy, eV for the cell shown: -31.6
# Formation energy, meV per atom: -171
data_Na2In8Pd
_cell_length_a 4.724
_cell_length_b 4.724
_cell_length_c 12.302
_cell_angle_alpha 90.00
_cell_angle_beta 90.00
_cell_angle_gamma 90.00
_symmetry_space_group_name_H-M 'P 4/m m m'
_symmetry_Int_Tables_number 123
_symmetry_space_group_name_Hall '-P 4 2'
loop_
_atom_site_label
_atom_site_type_symbol
_atom_site_fract_x
_atom_site_fract_y
_atom_site_fract_z
Na1 Na 0.000 0.000 0.189
In1 In 0.000 0.500 0.000
In2 In 0.000 0.500 0.374
In3 In 0.500 0.500 0.189
Pd1 Pd 0.000 0.000 0.500

Entry 12:
# Rb2SnTeCl6, relaxed, DFT GGA-PBE
# Raw total energy, eV for the cell shown: -62.6
# ΔE_f (raw), meV per atom: -1115
data_Rb2SnTeCl6
_cell_length_a 8.132
_cell_length_b 8.132
_cell_length_c 10.703
_cell_angle_alpha 90.00
_cell_angle_beta 90.00
_cell_angle_gamma 90.00
_symmetry_space_group_name_H-M 'I 4/m m m'
_symmetry_Int_Tables_number 139
_symmetry_space_group_name_Hall '-I 4 2'
loop_
_atom_site_label
_atom_site_type_symbol
_atom_site_fract_x
_atom_site_fract_y
_atom_site_fract_z
Rb1 Rb 0.000 0.500 0.250
Sn1 Sn 0.000 0.000 0.000
Te1 Te 0.000 0.000 0.500
Cl1 Cl 0.000 0.000 0.257
Cl2 Cl 0.229 0.229 0.000

- What is the raw total energy in the third record?
  -20.7 eV for the cell shown

- Which of these has the highest raw total energy?
  CaRh2Br

- Number 4 is which compound?
  Sr3Li7Al2

- raw total energy of number 2 (In2PSe)?
  -60.7 eV for the cell shown